Version 1
{"formula": "ThGa2Si", "functional": "PBE-GGA", "state": "optimized geometry", "cell": [[-4.321, -1.225, 0.789], [1.042, -1.088, 4.015], [-0.890, 3.985, 1.310]], "species": ["Si", "Ga", "Ga", "Th"], "frac_coords": [[0.500, 0.500, 0.500], [0.000, 0.000, 0.500], [0.000, 0.500, 0.000], [0.500, 0.000, 0.000]], "sg": "P4/mmm (123)", "rho_g_cm3": 7.91}


Version 2
{"formula": "ThGa2Si", "functional": "PBE-GGA", "state": "optimized geometry", "cell": [[4.393, 0.000, 0.000], [2.196, 3.804, 0.000], [2.196, 1.268, 5.033]], "species": ["Si", "Ga", "Ga", "Th"], "frac_coords": [[0.000, 0.000, 0.000], [0.713, 0.713, 0.860], [0.287, 0.287, 0.140], [0.500, 0.500, 0.500]], "sg": "R-3m (166)", "rho_g_cm3": 7.89}


Energies relative to the most stable structure, in meV per atom: version 1 0; version 2 171.


Version 1
{"formula": "TiGaSi", "functional": "PBE-GGA", "state": "optimized geometry", "cell": [[-1.883, -4.529, 0.194], [3.247, 1.107, -3.511], [2.612, 0.455, 4.309]], "species": ["Si", "Si", "Ti", "Ti", "Ga", "Ga"], "frac_coords": [[0.056, 0.944, 0.500], [0.306, 0.694, 0.000], [0.382, 0.618, 0.500], [0.632, 0.368, 0.000], [0.968, 0.032, 0.000], [0.718, 0.282, 0.500]], "sg": "Fdd2 (43)", "rho_g_cm3": 5.22}


Version 2
{"formula": "TiGaSi", "functional": "PBE-GGA", "state": "optimized geometry", "cell": [[-1.220, -0.088, -3.719], [-2.813, -2.500, -1.079], [-6.587, 4.340, -0.008]], "species": ["Ti", "Ti", "Ga", "Ga", "Si", "Si"], "frac_coords": [[0.455, 0.076, 0.714], [0.587, 0.207, 0.322], [0.328, 0.949, 0.094], [0.043, 0.663, 0.951], [0.855, 0.475, 0.517], [0.186, 0.807, 0.521]], "sg": "R3m (160)", "rho_g_cm3": 4.82}


Version 3
{"formula": "TiGaSi", "functional": "PBE-GGA", "state": "optimized geometry", "cell": [[2.646, 0.000, 0.000], [0.000, 4.438, 0.000], [0.000, -2.219, 3.844]], "species": ["Si", "Ga", "Ti"], "frac_coords": [[0.833, 0.000, 0.000], [0.834, 0.333, 0.667], [0.333, 0.667, 0.333]], "sg": "P-6m2 (187)", "rho_g_cm3": 5.36}


Version 4
{"formula": "TiGaSi", "functional": "PBE-GGA", "state": "optimized geometry", "cell": [[-2.095, 2.006, 2.198], [1.280, -1.844, 2.902], [4.414, 5.474, -0.788]], "species": ["Ti", "Ti", "Ga", "Ga", "Si", "Si"], "frac_coords": [[0.250, 0.091, 0.183], [0.750, 0.909, 0.817], [0.250, 0.753, 0.506], [0.750, 0.247, 0.494], [0.250, 0.438, 0.875], [0.750, 0.562, 0.125]], "sg": "Cmcm (63)", "rho_g_cm3": 5.30}


Energies relative to the most stable structure, in meV per atom: version 1 145; version 2 318; version 3 280; version 4 0.


Version 1
{"formula": "Ti3GaSi", "functional": "PBE-GGA", "state": "optimized geometry", "cell": [[-2.734, 2.028, -3.487], [-4.227, -4.748, 0.553], [-0.629, 5.262, 3.554]], "species": ["Ti", "Ti", "Ti", "Ti", "Ti", "Ti", "Ga", "Ga", "Si", "Si"], "frac_coords": [[0.250, 0.802, 0.198], [0.750, 0.198, 0.802], [0.250, 0.802, 0.603], [0.750, 0.198, 0.397], [0.250, 0.397, 0.198], [0.750, 0.603, 0.802], [0.000, 0.000, 0.000], [0.500, 0.000, 0.000], [0.250, 0.334, 0.666], [0.750, 0.666, 0.334]], "sg": "P6_3/mmc (194)", "rho_g_cm3": 4.67}


Version 2
{"formula": "Ti3GaSi", "functional": "PBE-GGA", "state": "optimized geometry", "cell": [[4.592, 0.000, 0.000], [0.000, 4.592, 0.000], [0.000, 0.000, 4.592]], "species": ["Si", "Ga", "Ti", "Ti", "Ti"], "frac_coords": [[0.000, 0.000, 0.000], [0.500, 0.500, 0.500], [0.000, 0.500, 0.000], [0.000, 0.000, 0.500], [0.500, 0.000, 0.000]], "sg": "Pm-3m (221)", "rho_g_cm3": 4.14}


Energies relative to the most stable structure, in meV per atom: version 1 0; version 2 94.